Record 1
Entry from Alexandria via LeMat-Bulk: Zn3Se after structural relaxation (PBE).

Crystal system   orthorhombic
Raw total energy   -1.85 eV per atom
Relative energy among the computed polymorphs   13.51 kJ per mole of atoms
E_form (uncorrected)   -0.03 eV per atom

Cell: 3.496 2.746 7.396 Å, 89.99 90.00 90.00°
Positions (direct):
Zn  0.500  0.000  0.275
Se  0.000  0.000  0.000
Zn  0.000  0.500  0.500
Zn  0.500  0.000  0.725



Record 2
Entry from Alexandria via LeMat-Bulk: Sr2Ge4Pt3Au after structural relaxation (PBE).

Crystal system   tetragonal
Energy of formation   -0.735 eV/atom
Raw total energy   -5.06 eV per atom

Cell: 4.492 4.492 10.207 Å, 90.00 90.00 90.00°
Positions (direct):
Sr  0.500  0.000  0.246
Ge  0.500  0.000  0.631
Au  0.500  0.500  0.500
Pt  0.000  0.000  0.500
Ge  0.000  0.000  0.000
Ge  0.000  0.500  0.369
Pt  0.000  0.500  0.121
Sr  0.000  0.500  0.754
Ge  0.500  0.500  0.000
Pt  0.500  0.000  0.879



Record 3
Entry from Alexandria via LeMat-Bulk: Ho4Mg6Pb7 after structural relaxation (PBE).

Crystal system   cubic
Energy of formation   -0.158 eV/atom
Raw total energy   -3.32 eV per atom

Cell: 8.397 8.397 8.397 Å, 109.47 109.47 109.47°
Positions (direct):
Ho  0.500  0.000  0.000
Ho  0.000  0.500  0.000
Ho  0.000  0.000  0.500
Pb  0.000  0.000  0.000
Pb  0.500  0.250  0.750
Mg  0.298  0.000  0.298
Mg  0.702  0.702  0.000
Mg  0.000  0.702  0.702
Pb  0.500  0.750  0.250
Pb  0.250  0.500  0.750
Pb  0.750  0.500  0.250
Mg  0.702  0.000  0.702
Mg  0.000  0.298  0.298
Ho  0.500  0.500  0.500
Pb  0.750  0.250  0.500
Mg  0.298  0.298  0.000
Pb  0.250  0.750  0.500



Record 4
Entry from Alexandria via LeMat-Bulk: KTa2Cd after structural relaxation (PBE).

Crystal system   monoclinic
Energy of formation   0.925 eV/atom
Raw total energy   -5.50 eV per atom

Cell: 5.319 2.922 7.017 Å, 82.34 90.00 90.00°
Positions (direct):
K  0.500  0.750  0.750
Ta  0.000  0.471  0.405
Ta  0.000  0.029  0.095
Cd  0.500  0.250  0.250



Record 5
Entry from Alexandria via LeMat-Bulk: LiAg2Au3 after structural relaxation (PBE).

Crystal system   monoclinic
Energy of formation   -0.217 eV/atom
Raw total energy   -3.12 eV per atom
Relative energy among the computed polymorphs   0.00 kJ per mole of atoms

Cell: 4.043 6.450 8.335 Å, 90.00 90.00 71.86°
Positions (direct):
Ag  0.668  0.665  0.500
Ag  0.000  0.000  0.000
Au  0.169  0.662  0.236
Ag  0.332  0.335  0.500
Au  0.500  0.000  0.755
Au  0.831  0.338  0.236
Au  0.169  0.662  0.764
Au  0.831  0.338  0.764
Au  0.500  0.000  0.245
Li  0.336  0.327  0.000
Li  0.664  0.673  0.000
Ag  0.000  0.000  0.500



Record 6
Entry from Alexandria via LeMat-Bulk: Ac5Y4Er after structural relaxation (PBE).

Crystal system   tetragonal
Energy of formation   0.047 eV/atom
Raw total energy   -5.05 eV per atom

Cell: 3.900 3.900 24.915 Å, 90.00 90.00 90.00°
Positions (direct):
Er  0.000  0.000  0.000
Y  0.000  0.000  0.600
Ac  0.500  0.500  0.500
Ac  0.500  0.500  0.098
Ac  0.500  0.500  0.902
Y  0.000  0.000  0.801
Y  0.000  0.000  0.400
Y  0.000  0.000  0.199
Ac  0.500  0.500  0.701
Ac  0.500  0.500  0.299



Record 7
Entry from Alexandria via LeMat-Bulk: ZnMoCl2 after structural relaxation (PBE).

Crystal system   tetragonal
Raw total energy   -3.78 eV per atom
Relative energy among the computed polymorphs   47.91 kJ per mole of atoms
E_form (uncorrected)   0.17 eV per atom

Cell: 3.067 3.067 9.357 Å, 90.00 90.00 90.00°
Site moments in Bohr magnetons follow the coordinates.
Positions (direct):
Mo  0.500  0.500  0.250  1.12
Cl  0.000  0.000  0.090  0.01
Cl  0.000  0.000  0.410  0.01
Zn  0.500  0.500  0.750  0.01



Record 8
Entry from Alexandria via LeMat-Bulk: Tl2Sb2Au after structural relaxation (PBE).

Crystal system   tetragonal
Raw total energy   -3.27 eV per atom
Relative energy among the computed polymorphs   0.00 kJ per mole of atoms
E_form (uncorrected)   -0.02 eV per atom

Cell: 7.251 7.251 5.708 Å, 90.00 90.00 90.00°
Positions (direct):
Tl  0.672  0.828  0.500
Tl  0.328  0.172  0.500
Sb  0.356  0.856  0.000
Tl  0.172  0.672  0.500
Sb  0.644  0.144  0.000
Sb  0.144  0.356  0.000
Au  0.500  0.500  0.000
Au  0.000  0.000  0.000
Tl  0.828  0.328  0.500
Sb  0.856  0.644  0.000



Among the records above, which one has the highest raw total energy?
Zn3Se



Which value of raw total energy does entry 6 give?
-5.05 eV per atom



What is the raw total energy in the first record?
-1.85 eV per atom



Copy entry 7 word for word.
Entry from Alexandria via LeMat-Bulk: ZnMoCl2 after structural relaxation (PBE).

Crystal system   tetragonal
Raw total energy   -3.78 eV per atom
Relative energy among the computed polymorphs   47.91 kJ per mole of atoms
E_form (uncorrected)   0.17 eV per atom

Cell: 3.067 3.067 9.357 Å, 90.00 90.00 90.00°
Site moments in Bohr magnetons follow the coordinates.
Positions (direct):
Mo  0.500  0.500  0.250  1.12
Cl  0.000  0.000  0.090  0.01
Cl  0.000  0.000  0.410  0.01
Zn  0.500  0.500  0.750  0.01